Below is a relaxed Na2WAuO crystal, with properties calculated at the GGA+U level.

Geometry as CIF:
```
data_Na2WAuO
_space_group_name_H-M_alt 'P 4/m m m'
_space_group_IT_number 123
_space_group_name_Hall '-P 4 2'
_cell_length_a 5.3097
_cell_length_b 5.3097
_cell_length_c 5.4368
_cell_angle_alpha 90.00
_cell_angle_beta 90.00
_cell_angle_gamma 90.00
loop_
_atom_site_label
_atom_site_type_symbol
_atom_site_fract_x
_atom_site_fract_y
_atom_site_fract_z
_atom_site_occupancy
Na1 Na 0.0000 0.5000 0.0000 1
W1 W 0.0000 0.0000 0.5000 1
Au1 Au 0.0000 0.0000 0.0000 1
O1 O 0.5000 0.5000 0.5000 1
```

Its magnetic moment is 4.12 μB/cell. The electronic total energy is -2.736 eV/atom.